Entry 1:
## YMnSb2 (PBE)

Data for an optimized crystal structure of YMnSb2.

Cell: 4.3398 5.8528 7.7591 Å, 90.00 90.00 90.00°
With the nearest neighbours (Å) after each atom.
Space group Immm (No. 71)
Symmetry-distinct sites (fractional):
Y 0.0000 0.0000 0.0000 (multiplicity 2)  8 Sb 3.09-3.37
Mn 0.0000 0.0000 0.5000 (multiplicity 2)  4 Sb 2.74
Sb 0.0000 0.5000 0.2163 (multiplicity 4)  2 Mn 2.74

## Properties
E = -6.24 eV per atom
Fermi-level density of states = 0.7296 states/eV/atom
uncorrected formation energy = -0.27 eV/atom
ρ = 6.5 g cm⁻³

***

Entry 2:
## Y2W (PBE)

Data for an optimized crystal structure of Y2W.

Cell: 11.7079 3.5248 8.1395 Å, 90.00 110.92 90.00°
With the nearest neighbours (Å) after each atom.
Space group C2/m (No. 12)
Symmetry-distinct sites (fractional):
Y 0.0110 0.0000 0.2085 (multiplicity 4)  4 W 3.09-3.34, 4 Y 3.31-3.45
Y 0.1738 0.5000 0.6292 (multiplicity 4)  3 W 3.08-3.36, 3 Y 3.40-3.45
W 0.1909 0.5000 0.0499 (multiplicity 4)  2 W 2.55

## Properties
E = -8.38 eV per atom
Fermi-level density of states = 1.0627 states/eV/atom
calculated formation energy = 246 meV per atom
distance to the lowest polymorph of the same formula = 0 meV per atom
ρ = 7.7 g cm⁻³

***

Entry 3:
## CoAs2Pt (PBE)

Data for an optimized crystal structure of CoAs2Pt.

Cell: 2.9778 2.9778 6.8237 Å, 90.00 90.00 90.00°
With the nearest neighbours (Å) after each atom.
Space group P4/mmm (No. 123)
Symmetry-distinct sites (fractional):
Co 0.0000 0.0000 0.0000 (multiplicity 1)  8 As 2.60
As 0.5000 0.5000 0.2246 (multiplicity 2)  4 Co 2.60, 4 Pt 2.82
Pt 0.0000 0.0000 0.5000 (multiplicity 1)  8 As 2.82, 4 Pt 2.98

## Properties
E = -5.53 eV per atom
Fermi-level density of states = 0.7818 states/eV/atom
calculated formation energy = 77 meV per atom
distance to the lowest polymorph of the same formula = 343 meV per atom
ρ = 11.1 g cm⁻³

***

Entry 4:
## Ba2ZnC2 (PBE)

Data for an optimized crystal structure of Ba2ZnC2.

Cell: 7.9342 7.9342 3.8514 Å, 90.00 90.00 90.00°
With the nearest neighbours (Å) after each atom.
Space group P4/mbm (No. 127)
Symmetry-distinct sites (fractional):
Ba 0.2246 0.2754 0.0000 (multiplicity 4)  6 C 3.11-3.24, 4 Zn 3.41
Zn 0.0000 0.0000 0.5000 (multiplicity 2)  8 Ba 3.41, 4 C 3.54
C 0.0574 0.5574 0.5000 (multiplicity 4)  1 C 1.29

## Properties
E = -4.59 eV per atom
Fermi-level density of states = 0.8372 states/eV/atom
calculated formation energy = 126 meV per atom
ρ = 5.0 g cm⁻³

***

Entry 5:
## BaTaIn2 (PBE)

Data for an optimized crystal structure of BaTaIn2.

Cell: 7.2281 9.0921 3.1719 Å, 90.00 90.00 90.00°
With the nearest neighbours (Å) after each atom.
Space group Cmmm (No. 65)
Symmetry-distinct sites (fractional):
Ba 0.0000 0.0000 0.0000 (multiplicity 2)  2 Ba 3.17, 8 In 3.31
Ta 0.0000 0.5000 0.0000 (multiplicity 2)  2 Ta 3.17, 8 In 3.31
In 0.2500 0.2500 0.5000 (multiplicity 4)  2 In 3.17, 4 Ta 3.31, 4 Ba 3.31

## Properties
E = -4.33 eV per atom
Fermi-level density of states = 0.9419 states/eV/atom
calculated formation energy = 480 meV per atom
distance to the lowest polymorph of the same formula = 316 meV per atom
ρ = 8.7 g cm⁻³

***

Entry 6:
## Na17Cd11Ga (PBE)

Data for an optimized crystal structure of Na17Cd11Ga.

Cell: 11.6566 16.4877 10.0664 Å, 90.00 125.14 90.00°
With the nearest neighbours (Å) after each atom.
Space group Cm (No. 8)
Symmetry-distinct sites (fractional):
Na 0.0000 0.0000 0.0000 (multiplicity 2)  1 Ga 3.25, 7 Na 3.34-3.56, 4 Cd 3.38-3.45
Na 0.0033 0.3260 0.2749 (multiplicity 4)  4 Na 3.27-3.52, 5 Cd 3.35-3.44, 1 Ga 3.41
Na 0.0218 0.3431 0.6855 (multiplicity 4)  7 Na 3.30-3.56, 5 Cd 3.31-3.49
Na 0.0280 0.0000 0.6254 (multiplicity 2)  4 Na 3.28-3.54, 6 Cd 3.43-3.44
Na 0.1187 0.1544 0.8731 (multiplicity 4)  7 Na 3.28-3.55, 4 Cd 3.29-3.48, 1 Ga 3.31
Na 0.1778 0.5000 0.2747 (multiplicity 2)  11 Cd 3.41-3.54, 1 Ga 3.48, 4 Na 3.52-3.54
Na 0.1825 0.5000 0.9282 (multiplicity 2)  4 Na 3.30-3.52, 6 Cd 3.42-3.50
Na 0.1962 0.2038 0.5902 (multiplicity 4)  7 Na 3.31-3.57, 5 Cd 3.34-3.45
Na 0.2269 0.1384 0.2742 (multiplicity 4)  7 Na 3.27-3.57, 4 Cd 3.29-3.40, 1 Ga 3.42
Na 0.2739 0.0000 0.5576 (multiplicity 2)  7 Na 3.31-3.54, 5 Cd 3.36-3.45
Na 0.3834 0.2962 0.9619 (multiplicity 4)  5 Cd 3.28-3.44, 7 Na 3.30-3.56
Cd 0.1765 0.3192 0.0922 (multiplicity 4)  3 Cd 2.96-3.05
Cd 0.2700 0.4084 0.6394 (multiplicity 4)  3 Cd 2.95-3.07, 1 Na 3.28
Cd 0.3598 0.3191 0.4602 (multiplicity 4)  3 Cd 2.95-3.05
Cd 0.4076 0.0911 0.9202 (multiplicity 4)  1 Ga 2.94, 2 Cd 2.96-3.00, 1 Na 3.29
Cd 0.4547 0.4109 0.2768 (multiplicity 4)  3 Cd 2.94-3.05, 1 Na 3.29
Cd 0.4905 0.0000 0.4385 (multiplicity 2)  1 Ga 2.81, 2 Cd 3.07
Ga 0.3186 0.0000 0.0969 (multiplicity 2)  3 Cd 2.81-2.94

## Properties
E = -1.30 eV per atom
Fermi-level density of states = 0.6110 states/eV/atom
calculated formation energy = -76 meV per atom
ρ = 3.6 g cm⁻³

***

Entry 7:
## InSbC2 (PBE)

Data for an optimized crystal structure of InSbC2.

Cell: 5.1325 5.1325 10.0556 Å, 90.00 90.00 90.00°
With the nearest neighbours (Å) after each atom.
Space group I-42d (No. 122)
Symmetry-distinct sites (fractional):
In 0.0000 0.0000 0.0000 (multiplicity 4)  4 C 2.27
Sb 0.0000 0.0000 0.5000 (multiplicity 4)  4 C 2.15
C 0.2308 0.2500 0.6250 (multiplicity 8)  2 Sb 2.15, 2 In 2.27

## Properties
E = -5.35 eV per atom
Fermi-level density of states = 0.0000 states/eV/atom
distance to the lowest polymorph of the same formula = 0 meV per atom
uncorrected formation energy = 0.98 eV/atom
ρ = 6.5 g cm⁻³

***

Entry 8:
## Ba2Nb3S8 (PBE)

Data for an optimized crystal structure of Ba2Nb3S8.

Cell: 15.4107 7.2664 6.3495 Å, 90.00 108.29 90.00°
With the nearest neighbours (Å) after each atom.
Space group C2/m (No. 12)
Symmetry-distinct sites (fractional):
Ba 0.2501 0.0000 0.1846 (multiplicity 4)  6 S 3.01-3.13
Nb 0.0000 0.2101 0.5000 (multiplicity 4)  4 S 2.40-2.52
Nb 0.0000 0.5000 0.0000 (multiplicity 2)  6 S 2.47-2.50
S 0.0887 0.5000 0.3979 (multiplicity 4)  3 Nb 2.47-2.70
S 0.0954 0.2589 0.8974 (multiplicity 8)  2 Nb 2.50-2.52
S 0.1126 0.0000 0.4524 (multiplicity 4)  2 Nb 2.40

## Properties
E = -6.40 eV per atom
Fermi-level density of states = 0.4036 states/eV/atom
uncorrected formation energy = -1.24 eV/atom
ρ = 4.0 g cm⁻³

***

Entry 9:
## BaSc2V (PBE)

Data for an optimized crystal structure of BaSc2V.

Cell: 10.3789 10.3789 10.3789 Å, 90.00 90.00 90.00°
With the nearest neighbours (Å) after each atom.
Space group Fd-3m (No. 227, origin choice 2)
Symmetry-distinct sites (fractional):
Ba 0.1250 0.1250 0.1250 (multiplicity 8)  12 Sc 4.30, 4 Ba 4.49, 4 V 4.49
Sc 0.0000 0.0000 0.5000 (multiplicity 16)  2 V 2.25
V 0.1250 0.1250 0.6250 (multiplicity 8)  4 Sc 2.25

## Properties
E = -5.00 eV per atom
Fermi-level density of states = 1.1940 states/eV/atom
calculated formation energy = 927 meV per atom
distance to the lowest polymorph of the same formula = 292 meV per atom
ρ = 3.3 g cm⁻³

***

Entry 10:
## Nd2PuPd (PBE)

Data for an optimized crystal structure of Nd2PuPd.

Cell: 3.6320 3.6320 8.4694 Å, 90.00 90.00 90.00°
With the nearest neighbours (Å) after each atom.
Space group P4/mmm (No. 123)
Symmetry-distinct sites (fractional):
Nd 0.0000 0.0000 0.2074 (multiplicity 2)  4 Pd 3.11
Pu 0.5000 0.5000 0.5000 (multiplicity 1)  8 Nd 3.57, 4 Pu 3.63
Pd 0.5000 0.5000 0.0000 (multiplicity 1)  8 Nd 3.11

## Properties
E = -7.51 eV per atom
Fermi-level density of states = 1.8829 states/eV/atom
calculated formation energy = -242 meV per atom
distance to the lowest polymorph of the same formula = 0 meV per atom
ρ = 9.5 g cm⁻³

***

Entry 11:
## ReAs2Pt (PBE)

Data for an optimized crystal structure of ReAs2Pt.

Cell: 3.0191 3.6676 12.4849 Å, 90.00 90.00 90.00°
With the nearest neighbours (Å) after each atom.
Space group Imm2 (No. 44)
Symmetry-distinct sites (fractional):
Re 0.0000 0.0000 0.0000 (multiplicity 2)  6 As 2.54-2.55
As 0.0000 0.0000 0.4276 (multiplicity 2)  4 Re 2.54, 2 Pt 2.57
As 0.0000 0.5000 0.6644 (multiplicity 2)  2 Re 2.55, 4 Pt 2.80
Pt 0.0000 0.5000 0.2828 (multiplicity 2)  6 As 2.57-2.80

## Properties
E = -6.76 eV per atom
Fermi-level density of states = 0.6986 states/eV/atom
calculated formation energy = 191 meV per atom
distance to the lowest polymorph of the same formula = 98 meV per atom
ρ = 12.8 g cm⁻³